Compound: CaY2As
Source: Alexandria
Functional: GGA-PBE
Structure: optimized geometry

Energy of formation   -49.51 kJ per mole of atoms

Unit cell a=3.625 b=3.625 c=9.274 alpha=90.00 beta=90.00 gamma=90.00
Sites, in units of the cell vectors:
1 Ca 0.000 0.000 0.000
2 Y 0.500 0.500 0.324
3 Y 0.500 0.500 0.676
4 As 0.000 0.000 0.500